This record from Alexandria via LeMat-Bulk describes an optimized crystal structure of Ac2MoOsO8. The functional is PBE+U.

Unit cell a=5.6417 b=5.7383 c=6.3975 alpha=76.27 beta=77.77 gamma=71.40
Closest atoms and distances in Å follow each position.
Fractional coordinates of all 12 atoms:
Ac 0.1730 0.0919 0.1989  6 O 2.41-2.66
Ac 0.8270 0.9081 0.8010  6 O 2.41-2.66
Mo 0.5000 0.5000 0.5000  6 O 1.91-2.12
Os 0.5000 0.5000 0.0000  6 O 1.88-2.10
O 0.1761 0.7417 0.5153  1 Mo 1.91
O 0.1786 0.7329 0.0123  1 Os 1.88
O 0.4007 0.3256 0.3045  1 Os 2.02, 1 Mo 2.03
O 0.4113 0.2939 0.8123  1 Os 2.10, 1 Mo 2.12
O 0.5887 0.7061 0.1877  1 Os 2.10, 1 Mo 2.12
O 0.5993 0.6744 0.6955  1 Os 2.02, 1 Mo 2.03
O 0.8214 0.2671 0.9877  1 Os 1.88
O 0.8239 0.2583 0.4847  1 Mo 1.91

## Properties
Density of states at the Fermi level, states/eV per cell: 3.8
Total moment, μB/f.u.: 2.00
E, eV/atom: -7.714
ρ, Mg/m³: 7.64